# 1
Density functional theory data (PBE+U) for crystalline LiHfV2O6 at its relaxed geometry.

Calculated values
The value obtained for the volume is 109.4 Å³/cell. The value obtained for the calculated total energy is -81.06 eV/cell.

Lattice parameters (Å, degrees): 5.1971 5.2400 5.5750 61.80 61.63 59.25
Last column: nearest neighbours and their distance in Å.
Fractional coordinates of all 10 atoms:
Li: 0.8099 0.8074 0.5823  6 O 2.12-2.31
Hf: 0.3072 0.3010 0.0777  6 O 2.02-2.23
V: 0.5172 0.5136 0.4534  6 O 1.99-2.16
V: 0.0221 0.0154 0.9487  4 O 1.83-2.02
O: 0.6353 0.2296 0.2257  2 V 2.02-2.08, 1 Hf 2.03
O: 0.2357 0.9002 0.2371  2 V 2.01-2.07, 1 Hf 2.02, 1 Li 2.24
O: 0.8989 0.6243 0.2343  2 V 1.99-2.11, 1 Hf 2.02
O: 0.3623 0.7453 0.7578  1 V 1.83
O: 0.7305 0.1467 0.7479  2 V 1.96-2.05, 1 Hf 2.15, 1 Li 2.15
O: 0.1424 0.3782 0.7503  2 V 1.95-2.07, 1 Li 2.12, 1 Hf 2.16

***

# 2
Density functional theory data (PBE+U) for crystalline LiHfWO6 at its relaxed geometry.

Calculated values
The value obtained for the volume is 227.9 Å³/cell. The value obtained for the calculated total energy is -137.63 eV/cell. Its density of states at the Fermi level is 0.4115 states/eV per atom.

Lattice parameters (Å, degrees): 5.3719 5.3719 9.1182 90.00 90.00 120.00
Last column: nearest neighbours and their distance in Å.
Fractional coordinates of all 18 atoms:
Li: 0.0000 0.0000 0.0000  6 O 2.29
Li: 0.0000 0.0000 0.5000  6 O 2.29
Hf: 0.6667 0.3333 0.2500  6 O 2.09
Hf: 0.3333 0.6667 0.7500  6 O 2.09
W: 0.3333 0.6667 0.2500  6 O 1.95
W: 0.6667 0.3333 0.7500  6 O 1.95
O: 0.6300 0.6491 0.1339  1 W 1.95, 1 Hf 2.09
O: 0.0190 0.3700 0.1339  1 W 1.95, 1 Hf 2.09
O: 0.3700 0.0190 0.6339  1 W 1.95, 1 Hf 2.09
O: 0.9810 0.6300 0.8661  1 W 1.95, 1 Hf 2.09
O: 0.3509 0.3700 0.3661  1 W 1.95, 1 Hf 2.09
O: 0.0190 0.6491 0.3661  1 W 1.95, 1 Hf 2.09
O: 0.6491 0.0190 0.8661  1 W 1.95, 1 Hf 2.09
O: 0.6300 0.9810 0.3661  1 W 1.95, 1 Hf 2.09
O: 0.9810 0.3509 0.6339  1 W 1.95, 1 Hf 2.09
O: 0.3509 0.9810 0.1339  1 W 1.95, 1 Hf 2.09
O: 0.6491 0.6300 0.6339  1 W 1.95, 1 Hf 2.09
O: 0.3700 0.3509 0.8661  1 W 1.95, 1 Hf 2.09